Crystalline AgSn2H at its relaxed geometry. Source: the Alexandria database, functional PBE-GGA.

Energy above the lowest structure with this stoichiometry = 0.0 meV per atom
V = 76.4 Å³ per cell
Final energy = -3.20 eV per atom
Crystal system = cubic
DOS at the Fermi energy = 1.15 states/eV per cell

a = 4.7631 Å, b = 4.7631 Å, c = 4.7631 Å
α = 60.00°, β = 60.00°, γ = 60.00°
Positions (direct):
Ag 0.0000 0.0000 0.0000
Sn 0.2500 0.2500 0.2500
Sn 0.7500 0.7500 0.7500
H 0.5000 0.5000 0.5000